(P)
This record from Alexandria via LeMat-Bulk describes an optimized crystal structure of SrFe2Tc. The functional is PBE.

Geometry as CIF:
```
data_SrFe2Tc
_cell_length_a 7.084
_cell_length_b 7.084
_cell_length_c 6.147
_cell_angle_alpha 90.00
_cell_angle_beta 90.00
_cell_angle_gamma 90.00
_space_group_name_H-M_alt 'I -4 2 d'
_space_group_IT_number 122
_space_group_name_Hall 'I -4 2bw'
loop_
_atom_site_label
_atom_site_type_symbol
_atom_site_fract_x
_atom_site_fract_y
_atom_site_fract_z
Sr1 Sr 0.000 0.000 0.000
Fe1 Fe 0.171 0.250 0.625
Tc1 Tc 0.000 0.000 0.500
```

---

(Q)
This record from Alexandria via LeMat-Bulk describes an optimized crystal structure of SrFe2Tc. The functional is PBE.

Geometry as CIF:
```
data_SrFe2Tc
_cell_length_a 2.797
_cell_length_b 5.015
_cell_length_c 9.854
_cell_angle_alpha 90.00
_cell_angle_beta 90.00
_cell_angle_gamma 90.00
_space_group_name_H-M_alt 'I m m 2'
_space_group_IT_number 44
loop_
_space_group_symop_operation_xyz
'x,y,z'
'-x,-y,z'
'-x,y,z'
'x,-y,z'
'x+1/2,y+1/2,z+1/2'
'-x+1/2,-y+1/2,z+1/2'
'-x+1/2,y+1/2,z+1/2'
'x+1/2,-y+1/2,z+1/2'
loop_
_atom_site_label
_atom_site_type_symbol
_atom_site_fract_x
_atom_site_fract_y
_atom_site_fract_z
Sr1 Sr 0.000 0.000 0.000
Fe1 Fe 0.000 0.000 0.494
Fe2 Fe 0.000 0.500 0.789
Tc1 Tc 0.000 0.500 0.209
```

---

(R)
This record from Alexandria via LeMat-Bulk describes an optimized crystal structure of SrFe2Tc. The functional is PBE.

Geometry as CIF:
```
data_SrFe2Tc
_cell_length_a 6.478
_cell_length_b 6.478
_cell_length_c 6.478
_cell_angle_alpha 90.00
_cell_angle_beta 90.00
_cell_angle_gamma 90.00
_space_group_name_H-M_alt 'F -4 3 m'
_space_group_IT_number 216
_space_group_name_Hall 'F -4 2 3'
loop_
_atom_site_label
_atom_site_type_symbol
_atom_site_fract_x
_atom_site_fract_y
_atom_site_fract_z
Sr1 Sr 0.000 0.000 0.000
Fe1 Fe 0.000 0.000 0.500
Fe2 Fe 0.250 0.250 0.750
Tc1 Tc 0.250 0.250 0.250
```

---

(S)
This record from Alexandria via LeMat-Bulk describes an optimized crystal structure of SrFe2Tc. The functional is PBE.

Geometry as CIF:
```
data_SrFe2Tc
_cell_length_a 3.058
_cell_length_b 3.058
_cell_length_c 7.529
_cell_angle_alpha 90.00
_cell_angle_beta 90.00
_cell_angle_gamma 90.00
_space_group_name_H-M_alt 'P 4 m m'
_space_group_IT_number 99
loop_
_space_group_symop_operation_xyz
'x,y,z'
'-y,x,z'
'-x,-y,z'
'y,-x,z'
'-x,y,z'
'y,x,z'
'x,-y,z'
'-y,-x,z'
loop_
_atom_site_label
_atom_site_type_symbol
_atom_site_fract_x
_atom_site_fract_y
_atom_site_fract_z
Sr1 Sr 0.000 0.000 0.000
Fe1 Fe 0.000 0.000 0.509
Fe2 Fe 0.500 0.500 0.670
Tc1 Tc 0.500 0.500 0.330
```

---

Which of them is most stable? Easy: (S).

---

(P)
This record from Alexandria via LeMat-Bulk describes an optimized crystal structure of SrFe2Tc. The functional is PBE.

Geometry as CIF:
```
data_SrFe2Tc
_cell_length_a 6.325
_cell_length_b 6.325
_cell_length_c 6.325
_cell_angle_alpha 90.00
_cell_angle_beta 90.00
_cell_angle_gamma 90.00
_space_group_name_H-M_alt 'F m -3 m'
_space_group_IT_number 225
_space_group_name_Hall '-F 4 2 3'
loop_
_atom_site_label
_atom_site_type_symbol
_atom_site_fract_x
_atom_site_fract_y
_atom_site_fract_z
Sr1 Sr 0.000 0.000 0.000
Fe1 Fe 0.250 0.250 0.250
Tc1 Tc 0.000 0.000 0.500
```

---

(Q)
This record from Alexandria via LeMat-Bulk describes an optimized crystal structure of SrFe2Tc. The functional is PBE.

Geometry as CIF:
```
data_SrFe2Tc
_cell_length_a 3.233
_cell_length_b 3.233
_cell_length_c 7.071
_cell_angle_alpha 90.00
_cell_angle_beta 90.00
_cell_angle_gamma 90.00
_space_group_name_H-M_alt 'P 4/m m m'
_space_group_IT_number 123
_space_group_name_Hall '-P 4 2'
loop_
_atom_site_label
_atom_site_type_symbol
_atom_site_fract_x
_atom_site_fract_y
_atom_site_fract_z
Sr1 Sr 0.000 0.000 0.000
Fe1 Fe 0.500 0.500 0.335
Tc1 Tc 0.000 0.000 0.500
```

---

Which of them is most stable? Easy: (Q).

---

(P)
This record from Alexandria via LeMat-Bulk describes an optimized crystal structure of Sr2FeTc. The functional is PBE.

Geometry as CIF:
```
data_Sr2FeTc
_cell_length_a 7.241
_cell_length_b 7.241
_cell_length_c 7.241
_cell_angle_alpha 90.00
_cell_angle_beta 90.00
_cell_angle_gamma 90.00
_space_group_name_H-M_alt 'F -4 3 m'
_space_group_IT_number 216
_space_group_name_Hall 'F -4 2 3'
loop_
_atom_site_label
_atom_site_type_symbol
_atom_site_fract_x
_atom_site_fract_y
_atom_site_fract_z
Sr1 Sr 0.000 0.000 0.000
Sr2 Sr 0.250 0.250 0.250
Fe1 Fe 0.000 0.000 0.500
Tc1 Tc 0.250 0.250 0.750
```

---

(Q)
This record from Alexandria via LeMat-Bulk describes an optimized crystal structure of Sr2FeTc. The functional is PBE.

Geometry as CIF:
```
data_Sr2FeTc
_cell_length_a 3.708
_cell_length_b 5.243
_cell_length_c 11.022
_cell_angle_alpha 90.00
_cell_angle_beta 90.00
_cell_angle_gamma 90.00
_space_group_name_H-M_alt 'I m m 2'
_space_group_IT_number 44
loop_
_space_group_symop_operation_xyz
'x,y,z'
'-x,-y,z'
'-x,y,z'
'x,-y,z'
'x+1/2,y+1/2,z+1/2'
'-x+1/2,-y+1/2,z+1/2'
'-x+1/2,y+1/2,z+1/2'
'x+1/2,-y+1/2,z+1/2'
loop_
_atom_site_label
_atom_site_type_symbol
_atom_site_fract_x
_atom_site_fract_y
_atom_site_fract_z
Sr1 Sr 0.000 0.000 0.000
Sr2 Sr 0.000 0.500 0.215
Fe1 Fe 0.000 0.500 0.798
Tc1 Tc 0.000 0.000 0.407
```

---

Which of them is most stable? Easy: (Q).

---

(P)
This record from Alexandria via LeMat-Bulk describes an optimized crystal structure of Sr2FeTc. The functional is PBE.

Geometry as CIF:
```
data_Sr2FeTc
_cell_length_a 11.451
_cell_length_b 11.451
_cell_length_c 4.370
_cell_angle_alpha 90.00
_cell_angle_beta 90.00
_cell_angle_gamma 90.00
_space_group_name_H-M_alt 'I -4 2 d'
_space_group_IT_number 122
_space_group_name_Hall 'I -4 2bw'
loop_
_atom_site_label
_atom_site_type_symbol
_atom_site_fract_x
_atom_site_fract_y
_atom_site_fract_z
Sr1 Sr 0.067 0.250 0.125
Fe1 Fe 0.000 0.000 0.000
Tc1 Tc 0.000 0.000 0.500
```

---

(Q)
This record from Alexandria via LeMat-Bulk describes an optimized crystal structure of Sr2FeTc. The functional is PBE.

Geometry as CIF:
```
data_Sr2FeTc
_cell_length_a 3.9939
_cell_length_b 3.9939
_cell_length_c 26.1216
_cell_angle_alpha 90.00
_cell_angle_beta 90.00
_cell_angle_gamma 120.00
_space_group_name_H-M_alt 'R 3 m'
_space_group_IT_number 160
_space_group_name_Hall 'R 3 -2"'
loop_
_atom_site_label
_atom_site_type_symbol
_atom_site_fract_x
_atom_site_fract_y
_atom_site_fract_z
Sr1 Sr 0.0000 0.0000 0.0000
Sr2 Sr 0.0000 0.0000 0.1792
Fe1 Fe 0.0000 0.0000 0.4226
Tc1 Tc 0.0000 0.0000 0.7565
```

---

Which of them is most stable? Easy: (Q).

---

(P)
This record from Alexandria via LeMat-Bulk describes an optimized crystal structure of Sr2FeTc. The functional is PBE.

Geometry as CIF:
```
data_Sr2FeTc
_cell_length_a 6.772
_cell_length_b 8.597
_cell_length_c 3.528
_cell_angle_alpha 90.00
_cell_angle_beta 90.00
_cell_angle_gamma 90.00
_space_group_name_H-M_alt 'C m m m'
_space_group_IT_number 65
_space_group_name_Hall '-C 2 2'
loop_
_atom_site_label
_atom_site_type_symbol
_atom_site_fract_x
_atom_site_fract_y
_atom_site_fract_z
Sr1 Sr 0.250 0.250 0.000
Fe1 Fe 0.000 0.000 0.500
Tc1 Tc 0.000 0.500 0.500
```

---

(Q)
This record from Alexandria via LeMat-Bulk describes an optimized crystal structure of Sr2FeTc. The functional is PBE.

Geometry as CIF:
```
data_Sr2FeTc
_cell_length_a 7.379
_cell_length_b 7.379
_cell_length_c 7.379
_cell_angle_alpha 90.00
_cell_angle_beta 90.00
_cell_angle_gamma 90.00
_space_group_name_H-M_alt 'F m -3 m'
_space_group_IT_number 225
_space_group_name_Hall '-F 4 2 3'
loop_
_atom_site_label
_atom_site_type_symbol
_atom_site_fract_x
_atom_site_fract_y
_atom_site_fract_z
Sr1 Sr 0.250 0.250 0.250
Fe1 Fe 0.000 0.000 0.000
Tc1 Tc 0.000 0.000 0.500
```

---

Which of them is most stable? Easy: (P).